{
  "formula": "AcCuB2O6",
  "functional": "PBE-GGA",
  "state": "relaxed",
  "lattice": [[4.9561, 0.0000, 0.0000], [2.4780, 4.2921, 0.0000], [2.4780, 1.4307, 5.5626]],
  "species": ["Ac", "B", "O", "O", "B", "Cu", "O", "O", "O", "O"],
  "fractional_positions": [[0.0000, 0.0000, 0.0000], [0.7666, 0.7666, 0.7001], [0.4873, 0.2917, 0.2837], [0.5127, 0.7083, 0.7163], [0.2334, 0.2334, 0.2999], [0.5000, 0.5000, 0.5000], [0.0626, 0.5127, 0.7163], [0.7083, 0.0626, 0.7163], [0.2917, 0.9374, 0.2837], [0.9374, 0.4873, 0.2837]],
  "space_group": "R-3 (148)",
  "formation_energy_uncorrected_ev_per_atom": -2.18,
  "dft_energy_ev_per_cell": -73.12
}

***

{
  "formula": "Ac2NdSn3Rh4",
  "functional": "PBE-GGA",
  "state": "relaxed",
  "lattice": [[4.5429, 0.0000, 0.0000], [0.0000, 4.5429, 0.0000], [0.0000, 0.0000, 11.6054]],
  "species": ["Ac", "Rh", "Nd", "Rh", "Sn", "Sn", "Sn", "Rh", "Ac", "Rh"],
  "fractional_positions": [[0.0000, 0.5000, 0.7660], [0.5000, 0.0000, 0.6505], [0.5000, 0.5000, 0.5000], [0.0000, 0.0000, 0.0000], [0.5000, 0.0000, 0.8792], [0.0000, 0.5000, 0.1208], [0.0000, 0.0000, 0.5000], [0.5000, 0.5000, 0.0000], [0.5000, 0.0000, 0.2340], [0.0000, 0.5000, 0.3495]],
  "space_group": "P-4m2 (115)",
  "dft_energy_ev_per_cell": -61.84,
  "formation_energy_ev_per_atom": -0.745
}

***

{
  "formula": "Li5Pr2Sn4",
  "functional": "PBE-GGA",
  "state": "relaxed",
  "lattice": [[6.2840, 0.0000, 0.0000], [3.1420, 5.1837, 0.0000], [3.1420, 0.0000, 8.1884]],
  "species": ["Li", "Li", "Sn", "Sn", "Li", "Pr", "Li", "Pr", "Sn", "Sn", "Li"],
  "fractional_positions": [[0.5000, 0.5000, 0.0000], [0.5000, 0.0000, 0.0000], [0.4983, 0.2825, 0.7208], [0.7808, 0.7175, 0.7208], [0.2500, 0.5000, 0.5000], [0.8338, 0.0000, 0.3324], [0.0000, 0.5000, 0.0000], [0.1662, 0.0000, 0.6676], [0.5017, 0.7175, 0.2792], [0.2192, 0.2825, 0.2792], [0.7500, 0.5000, 0.5000]],
  "space_group": "Fmmm (69)",
  "dft_energy_ev_per_cell": -39.28,
  "formation_energy_ev_per_atom": -0.376
}

***

{
  "formula": "Pm12Nd7Pu",
  "functional": "PBE-GGA",
  "state": "relaxed",
  "lattice": [[9.4760, 0.0000, -3.3503], [-4.7380, 8.2064, -3.3503], [0.0000, 0.0000, 10.0508]],
  "species": ["Nd", "Pm", "Pm", "Nd", "Nd", "Pm", "Pm", "Pm", "Nd", "Pm", "Pm", "Pm", "Nd", "Pm", "Pm", "Nd", "Pu", "Pm", "Pm", "Nd"],
  "fractional_positions": [[0.5000, 0.5000, 0.5000], [0.2463, 0.7535, 0.9997], [0.4928, 0.2463, 0.2465], [0.5000, 0.5000, 0.0000], [0.0000, 0.5000, 0.0000], [0.0003, 0.7537, 0.2465], [0.2465, 0.0003, 0.7537], [0.7535, 0.5072, 0.7537], [0.0000, 0.5000, 0.5000], [0.2465, 0.4928, 0.2463], [0.7535, 0.9997, 0.2463], [0.2463, 0.2465, 0.4928], [0.5000, 0.0000, 0.5000], [0.9997, 0.2463, 0.7535], [0.7537, 0.2465, 0.0003], [0.0000, 0.0000, 0.5000], [0.0000, 0.0000, 0.0000], [0.7537, 0.7535, 0.5072], [0.5072, 0.7537, 0.7535], [0.5000, 0.0000, 0.0000]],
  "space_group": "Im-3m (229)",
  "dft_energy_ev_per_cell": -92.12,
  "formation_energy_ev_per_atom": 0.630
}

***

{
  "formula": "LiPtRh2",
  "functional": "PBE-GGA",
  "state": "relaxed",
  "lattice": [[-4.1976, -0.3239, -0.9661], [-2.9775, 1.3156, 2.8393], [-2.3150, 3.5598, -0.7915]],
  "species": ["Rh", "Rh", "Li", "Pt"],
  "fractional_positions": [[0.7500, 0.7500, 0.7500], [0.2500, 0.2500, 0.2500], [0.0000, 0.0000, 0.0000], [0.5000, 0.5000, 0.5000]],
  "space_group": "Fm-3m (225)",
  "dft_energy_ev_per_cell": -22.66,
  "formation_energy_ev_per_atom": -0.002
}

***

{
  "formula": "Ho2Zr2O7",
  "functional": "PBE-GGA",
  "state": "relaxed",
  "lattice": [[5.5148, 0.0000, 0.0000], [0.0000, 7.8614, 0.0050], [0.0000, 2.0349, 13.6523]],
  "species": ["O", "Zr", "O", "O", "O", "O", "Ho", "O", "O", "O", "Ho", "O", "O", "Ho", "O", "O", "O", "O", "O", "Zr", "Ho", "Zr", "O", "O", "Ho", "Ho", "Ho", "Zr", "O", "O", "Zr", "O", "O", "Zr", "O", "O", "O", "Ho", "O", "O", "O", "O", "Zr", "Zr"],
  "fractional_positions": [[0.4080, 0.6763, 0.2981], [0.7645, 0.0756, 0.6803], [0.4697, 0.1386, 0.7713], [0.0415, 0.8420, 0.4346], [0.4125, 0.4143, 0.1726], [0.6324, 0.7284, 0.0850], [0.2429, 0.7125, 0.1343], [0.9125, 0.5857, 0.8274], [0.3892, 0.7773, 0.8837], [0.9212, 0.9909, 0.8251], [0.7429, 0.2875, 0.8657], [0.5526, 0.0769, 0.9782], [0.5415, 0.1580, 0.5654], [0.2808, 0.2393, 0.0706], [0.4748, 0.4737, 0.7646], [0.0785, 0.4285, 0.4534], [0.4212, 0.0091, 0.1749], [0.6308, 0.8320, 0.6702], [0.5463, 0.4390, 0.9753], [0.2632, 0.0258, 0.8815], [0.2591, 0.3649, 0.6002], [0.2752, 0.4096, 0.3277], [0.1143, 0.6371, 0.6236], [0.9697, 0.8614, 0.2287], [0.7591, 0.6351, 0.3998], [0.7808, 0.7607, 0.9294], [0.3207, 0.8673, 0.5587], [0.7632, 0.9742, 0.1185], [0.5489, 0.9217, 0.4193], [0.5785, 0.5715, 0.5466], [0.7654, 0.4671, 0.1270], [0.1324, 0.2716, 0.9150], [0.1308, 0.1680, 0.3298], [0.2645, 0.9244, 0.3197], [0.0526, 0.9231, 0.0218], [0.0489, 0.0783, 0.5807], [0.9748, 0.5263, 0.2354], [0.8207, 0.1327, 0.4413], [0.0463, 0.5610, 0.0247], [0.8892, 0.2227, 0.1163], [0.6143, 0.3629, 0.3764], [0.9080, 0.3237, 0.7019], [0.2654, 0.5329, 0.8730], [0.7752, 0.5904, 0.6723]],
  "space_group": "P2_1 (4)",
  "formation_energy_uncorrected_ev_per_atom": -3.42,
  "dft_energy_ev_per_cell": -394.48
}

***

{
  "formula": "LaVSn3",
  "functional": "PBE-GGA",
  "state": "relaxed",
  "lattice": [[-5.0659, -0.6540, 0.4271], [0.3022, -4.2254, -2.8859], [0.7202, -2.8270, 4.2146]],
  "species": ["Sn", "V", "Sn", "Sn", "La"],
  "fractional_positions": [[0.0000, 0.0000, 0.5000], [0.0000, 0.0000, 0.0000], [0.5000, 0.0000, 0.0000], [0.0000, 0.5000, 0.0000], [0.5000, 0.5000, 0.5000]],
  "space_group": "Pm-3m (221)",
  "dft_energy_ev_per_cell": -26.87,
  "formation_energy_ev_per_atom": -0.163
}

***

{
  "formula": "PmAgPdPt",
  "functional": "PBE-GGA",
  "state": "relaxed",
  "lattice": [[-2.4797, 2.9734, -1.2094], [-2.9273, -3.0157, -1.4122], [-1.8638, 0.0091, 3.8441]],
  "species": ["Pt", "Pm", "Ag", "Pd"],
  "fractional_positions": [[0.0000, 0.5000, 0.5000], [0.5000, 0.5000, 0.0000], [0.5000, 0.0000, 0.5000], [0.0000, 0.0000, 0.0000]],
  "space_group": "Pmmm (47)",
  "dft_energy_ev_per_cell": -21.49,
  "formation_energy_ev_per_atom": -0.664
}

***

{
  "formula": "In2Pd4S",
  "functional": "PBE-GGA",
  "state": "relaxed",
  "lattice": [[4.4974, 0.0000, 0.0000], [0.0000, 4.4974, 0.0000], [2.2487, 2.2487, 6.9644]],
  "species": ["Pd", "In", "S", "In", "Pd", "Pd", "Pd"],
  "fractional_positions": [[0.5000, 0.0000, 0.0000], [0.3544, 0.3544, 0.2913], [0.0000, 0.0000, 0.0000], [0.6456, 0.6456, 0.7087], [0.8342, 0.8342, 0.3317], [0.1658, 0.1658, 0.6683], [0.0000, 0.5000, 0.0000]],
  "space_group": "I4/mmm (139)",
  "formation_energy_uncorrected_ev_per_atom": -0.15,
  "dft_energy_ev_per_cell": -31.42
}

***

{
  "formula": "LiNp4Te6",
  "functional": "PBE-GGA",
  "state": "relaxed",
  "lattice": [[-5.9535, -6.0063, 1.3039], [4.3012, -5.2642, -5.1969], [4.4323, -3.0793, 6.6403]],
  "species": ["Np", "Te", "Np", "Np", "Te", "Np", "Te", "Np", "Te", "Np", "Te", "Te", "Li", "Te", "Li", "Te", "Te", "Te", "Te", "Te", "Np", "Np"],
  "fractional_positions": [[0.7500, 0.7500, 0.2500], [0.3170, 0.9406, 0.9218], [0.8594, 0.2500, 0.3594], [0.2500, 0.6407, 0.1406], [0.4218, 0.5594, 0.8170], [0.6407, 0.8594, 0.7500], [0.9218, 0.6830, 0.9406], [0.7500, 0.3594, 0.8594], [0.4406, 0.8170, 0.4218], [0.3594, 0.1406, 0.2500], [0.5782, 0.4406, 0.1830], [0.0594, 0.9218, 0.3170], [0.5000, 0.5000, 0.5000], [0.5594, 0.1830, 0.5782], [0.0000, 0.0000, 0.0000], [0.1830, 0.4218, 0.4406], [0.0782, 0.3170, 0.0594], [0.6830, 0.0594, 0.0782], [0.8170, 0.5782, 0.5594], [0.9406, 0.0782, 0.6830], [0.1406, 0.7500, 0.6407], [0.2500, 0.2500, 0.7500]],
  "space_group": "R-3c (167)",
  "formation_energy_uncorrected_ev_per_atom": -0.66,
  "dft_energy_ev_per_cell": -159.48
}

***

{
  "formula": "SrBiF6",
  "functional": "PBE-GGA",
  "state": "relaxed",
  "lattice": [[-5.6762, 3.8990, 3.0578], [1.3437, -5.5450, 0.7712], [4.6922, 1.8968, 1.4052]],
  "species": ["F", "Bi", "F", "F", "Sr", "F", "F", "F"],
  "fractional_positions": [[0.1445, 0.8942, 0.6781], [0.5000, 0.0000, 0.0000], [0.7708, 0.4706, 0.0000], [0.8555, 0.1058, 0.3219], [0.0000, 0.0000, 0.0000], [0.5336, 0.7840, 0.6781], [0.2292, 0.5294, 0.0000], [0.4664, 0.2160, 0.3219]],
  "space_group": "C2/m (12)",
  "formation_energy_uncorrected_ev_per_atom": -2.73,
  "dft_energy_ev_per_cell": -38.60
}

***

{
  "formula": "Mn3CrRe",
  "functional": "PBE-GGA",
  "state": "relaxed",
  "lattice": [[4.1254, 0.0000, 0.0000], [0.0000, 4.1254, 0.0000], [0.0000, 0.0000, 4.1254]],
  "species": ["Mn", "Cr", "Mn", "Mn", "Re"],
  "fractional_positions": [[0.0000, 0.5000, 0.0000], [0.0000, 0.0000, 0.0000], [0.5000, 0.0000, 0.0000], [0.0000, 0.0000, 0.5000], [0.5000, 0.5000, 0.5000]],
  "space_group": "Pm-3m (221)",
  "dft_energy_ev_per_cell": -42.98,
  "formation_energy_ev_per_atom": 1.321
}